1.
The following is a DFT calculation (PBE) of a relaxed structure of BaHoRuO6.

Cell and atoms, written as CIF:
```
data_BaHoRuO6
_chemical_formula_sum 'Ba1 Ho1 Ru1 O6'
_symmetry_space_group_name_H-M 'P 3 1 2'
_symmetry_Int_Tables_number 149
_symmetry_space_group_name_Hall 'P 3 2'
_cell_length_a 5.5809
_cell_length_b 5.5809
_cell_length_c 5.6549
_cell_angle_alpha 90.00
_cell_angle_beta 90.00
_cell_angle_gamma 120.00
loop_
_atom_site_label
_atom_site_fract_x
_atom_site_fract_y
_atom_site_fract_z
Ba1 0.0000 0.0000 0.0000
Ho1 0.3333 0.6667 0.5000
Ru1 0.6667 0.3333 0.5000
O1 0.3974 0.0419 0.6951
```

## Properties
The value obtained for the calculated density is 5.44 g/cm3. The total energy comes out at -7.012 eV per atom. For the density of states at the Fermi level, the calculation gives 5.023 states/eV/f.u. The value obtained for the uncorrected formation energy is -1.953 eV per atom.

---

2.
The following is a DFT calculation (PBE) of a relaxed structure of LiNdHg.

Cell and atoms, written as CIF:
```
data_LiNdHg
_chemical_formula_sum 'Li2 Nd2 Hg2'
_symmetry_space_group_name_H-M 'I 4 m m'
_symmetry_Int_Tables_number 107
_symmetry_space_group_name_Hall 'I 4 -2'
_cell_length_a 3.8383
_cell_length_b 3.8383
_cell_length_c 10.0506
_cell_angle_alpha 90.00
_cell_angle_beta 90.00
_cell_angle_gamma 90.00
loop_
_atom_site_label
_atom_site_fract_x
_atom_site_fract_y
_atom_site_fract_z
Li1 0.0000 0.0000 0.0000
Nd1 0.0000 0.0000 0.3089
Hg1 0.0000 0.0000 0.6294
```

## Properties
The value obtained for the calculated density is 7.89 g/cm3. Its formation enthalpy at 0 K is -261.6 meV per atom. The total energy comes out at -2.589 eV per atom. For the density of states at the Fermi level, the calculation gives 1.571 states/eV/f.u.

---

3.
The following is a DFT calculation (PBE) of a relaxed structure of Ac5LaTbPr2.

Cell and atoms, written as CIF:
```
data_Ac5LaTbPr2
_chemical_formula_sum 'Ac20 La4 Tb4 Pr8'
_symmetry_space_group_name_H-M 'I 4/m c m'
_symmetry_Int_Tables_number 140
_symmetry_space_group_name_Hall '-I 4 2c'
_cell_length_a 8.4686
_cell_length_b 8.4686
_cell_length_c 21.1284
_cell_angle_alpha 90.00
_cell_angle_beta 90.00
_cell_angle_gamma 90.00
loop_
_atom_site_label
_atom_site_fract_x
_atom_site_fract_y
_atom_site_fract_z
Ac1 0.0000 0.0000 0.0000
Ac2 0.2189 0.2811 0.1345
La1 0.0000 0.0000 0.2500
Tb1 0.0000 0.5000 0.2500
Pr1 0.1225 0.3775 0.5000
```

## Properties
The value obtained for the calculated density is 7.52 g/cm3. Its formation enthalpy at 0 K is 273.0 meV per atom. The total energy comes out at -4.134 eV per atom. For the density of states at the Fermi level, the calculation gives 15.950 states/eV/f.u.

---

4.
The following is a DFT calculation (PBE) of a relaxed structure of Ba2LaHg6.

Cell and atoms, written as CIF:
```
data_Ba2LaHg6
_chemical_formula_sum 'Ba2 La1 Hg6'
_symmetry_space_group_name_H-M 'P 6/m m m'
_symmetry_Int_Tables_number 191
_symmetry_space_group_name_Hall '-P 6 2'
_cell_length_a 9.0770
_cell_length_b 9.0770
_cell_length_c 3.8157
_cell_angle_alpha 90.00
_cell_angle_beta 90.00
_cell_angle_gamma 120.00
loop_
_atom_site_label
_atom_site_fract_x
_atom_site_fract_y
_atom_site_fract_z
Ba1 0.3333 0.6667 0.0000
La1 0.0000 0.0000 0.0000
Hg1 0.0000 0.3291 0.5000
```

## Properties
The value obtained for the calculated density is 9.86 g/cm3. Its formation enthalpy at 0 K is -465.1 meV per atom. The total energy comes out at -1.641 eV per atom. For the density of states at the Fermi level, the calculation gives 5.813 states/eV/f.u.

---

5.
The following is a DFT calculation (PBE) of a relaxed structure of K2U2MnSe6.

Cell and atoms, written as CIF:
```
data_K2U2MnSe6
_chemical_formula_sum 'K4 U4 Mn2 Se12'
_symmetry_space_group_name_H-M 'C 1 2/m 1'
_symmetry_Int_Tables_number 12
_symmetry_space_group_name_Hall '-C 2y'
_cell_length_a 7.0493
_cell_length_b 12.2338
_cell_length_c 8.2229
_cell_angle_alpha 90.00
_cell_angle_beta 106.48
_cell_angle_gamma 90.00
loop_
_atom_site_label
_atom_site_fract_x
_atom_site_fract_y
_atom_site_fract_z
K1 0.0000 0.1661 0.0000
U1 0.0000 0.3338 0.5000
Mn1 0.0000 0.0000 0.5000
Se1 0.2307 0.1652 0.6977
Se2 0.2397 0.5000 0.6956
```

## Properties
The value obtained for the calculated density is 5.29 g/cm3. The total energy comes out at -6.080 eV per atom. For the density of states at the Fermi level, the calculation gives 13.499 states/eV/f.u. The value obtained for the uncorrected formation energy is -1.093 eV per atom.

---

6.
The following is a DFT calculation (PBE) of a relaxed structure of Mn5Ag3.

Cell and atoms, written as CIF:
```
data_Mn5Ag3
_chemical_formula_sum 'Mn10 Ag6'
_symmetry_space_group_name_H-M 'P 63/m c m'
_symmetry_Int_Tables_number 193
_symmetry_space_group_name_Hall '-P 6c 2'
_cell_length_a 7.8475
_cell_length_b 7.8475
_cell_length_c 5.0670
_cell_angle_alpha 90.00
_cell_angle_beta 90.00
_cell_angle_gamma 120.00
loop_
_atom_site_label
_atom_site_fract_x
_atom_site_fract_y
_atom_site_fract_z
Mn1 0.0000 0.2221 0.2500
Mn2 0.3333 0.6667 0.0000
Ag1 0.0000 0.4013 0.7500
```

## Properties
The value obtained for the calculated density is 7.35 g/cm3. Its formation enthalpy at 0 K is 520.9 meV per atom. The total energy comes out at -6.279 eV per atom. For the density of states at the Fermi level, the calculation gives 7.420 states/eV/f.u.

---

7.
The following is a DFT calculation (PBE) of a relaxed structure of KNi2Pt.

Cell and atoms, written as CIF:
```
data_KNi2Pt
_chemical_formula_sum 'K1 Ni2 Pt1'
_symmetry_space_group_name_H-M 'P 4/m m m'
_symmetry_Int_Tables_number 123
_symmetry_space_group_name_Hall '-P 4 2'
_cell_length_a 4.8053
_cell_length_b 4.8053
_cell_length_c 2.7213
_cell_angle_alpha 90.00
_cell_angle_beta 90.00
_cell_angle_gamma 90.00
loop_
_atom_site_label
_atom_site_fract_x
_atom_site_fract_y
_atom_site_fract_z
K1 0.0000 0.0000 0.0000
Ni1 0.0000 0.5000 0.5000
Pt1 0.5000 0.5000 0.0000
```

## Properties
The value obtained for the calculated density is 9.29 g/cm3. Its formation enthalpy at 0 K is 595.0 meV per atom. The total energy comes out at -4.080 eV per atom. For the density of states at the Fermi level, the calculation gives 7.995 states/eV/f.u.

---

8.
The following is a DFT calculation (PBE) of a relaxed structure of AcAlS3.

Cell and atoms, written as CIF:
```
data_AcAlS3
_chemical_formula_sum 'Ac1 Al1 S3'
_symmetry_space_group_name_H-M 'P m -3 m'
_symmetry_Int_Tables_number 221
_symmetry_space_group_name_Hall '-P 4 2 3'
_cell_length_a 4.7256
_cell_length_b 4.7256
_cell_length_c 4.7256
_cell_angle_alpha 90.00
_cell_angle_beta 90.00
_cell_angle_gamma 90.00
loop_
_atom_site_label
_atom_site_fract_x
_atom_site_fract_y
_atom_site_fract_z
Ac1 0.0000 0.0000 0.0000
Al1 0.5000 0.5000 0.5000
S1 0.0000 0.5000 0.5000
```

## Properties
The value obtained for the calculated density is 5.51 g/cm3. The total energy comes out at -5.532 eV per atom. For the density of states at the Fermi level, the calculation gives 0.402 states/eV/f.u. The value obtained for the uncorrected formation energy is -1.485 eV per atom.

---

9.
The following is a DFT calculation (PBE) of a relaxed structure of Hf2TlPt2.

Cell and atoms, written as CIF:
```
data_Hf2TlPt2
_chemical_formula_sum 'Hf4 Tl2 Pt4'
_symmetry_space_group_name_H-M 'I 4/m m m'
_symmetry_Int_Tables_number 139
_symmetry_space_group_name_Hall '-I 4 2'
_cell_length_a 4.5897
_cell_length_b 4.5897
_cell_length_c 10.6611
_cell_angle_alpha 90.00
_cell_angle_beta 90.00
_cell_angle_gamma 90.00
loop_
_atom_site_label
_atom_site_fract_x
_atom_site_fract_y
_atom_site_fract_z
Hf1 0.0000 0.5000 0.2500
Tl1 0.0000 0.0000 0.0000
Pt1 0.0000 0.0000 0.3766
```

## Properties
The value obtained for the calculated density is 14.07 g/cm3. Its formation enthalpy at 0 K is -631.5 meV per atom. The total energy comes out at -7.502 eV per atom. For the density of states at the Fermi level, the calculation gives 2.547 states/eV/f.u.

---

10.
The following is a DFT calculation (PBE) of a relaxed structure of SmDy9Er2.

Cell and atoms, written as CIF:
```
data_SmDy9Er2
_chemical_formula_sum 'Sm1 Dy9 Er2'
_symmetry_space_group_name_H-M 'P 6/m m m'
_symmetry_Int_Tables_number 191
_symmetry_space_group_name_Hall '-P 6 2'
_cell_length_a 11.1971
_cell_length_b 11.1971
_cell_length_c 3.4953
_cell_angle_alpha 90.00
_cell_angle_beta 90.00
_cell_angle_gamma 120.00
loop_
_atom_site_label
_atom_site_fract_x
_atom_site_fract_y
_atom_site_fract_z
Sm1 0.0000 0.0000 0.0000
Dy1 0.0000 0.5000 0.0000
Dy2 0.1776 0.3552 0.5000
Er1 0.3333 0.6667 0.0000
```

## Properties
The value obtained for the calculated density is 8.52 g/cm3. Its formation enthalpy at 0 K is 41.6 meV per atom. The total energy comes out at -4.564 eV per atom. For the density of states at the Fermi level, the calculation gives 16.351 states/eV/f.u.

---

11.
The following is a DFT calculation (PBE) of a relaxed structure of CaCuRe2.

Cell and atoms, written as CIF:
```
data_CaCuRe2
_chemical_formula_sum 'Ca2 Cu2 Re4'
_symmetry_space_group_name_H-M 'C m m m'
_symmetry_Int_Tables_number 65
_symmetry_space_group_name_Hall '-C 2 2'
_cell_length_a 3.4572
_cell_length_b 4.0796
_cell_length_c 9.1633
_cell_angle_alpha 90.00
_cell_angle_beta 90.00
_cell_angle_gamma 90.00
loop_
_atom_site_label
_atom_site_fract_x
_atom_site_fract_y
_atom_site_fract_z
Ca1 0.0000 0.0000 0.0000
Cu1 0.0000 0.0000 0.5000
Re1 0.0000 0.5000 0.2804
```

## Properties
The value obtained for the calculated density is 12.23 g/cm3. Its formation enthalpy at 0 K is 607.2 meV per atom. The total energy comes out at -7.141 eV per atom. For the density of states at the Fermi level, the calculation gives 2.646 states/eV/f.u.

---

12.
The following is a DFT calculation (PBE) of a relaxed structure of ZrTl2I4F2.

Cell and atoms, written as CIF:
```
data_ZrTl2I4F2
_chemical_formula_sum 'Zr2 Tl4 I8 F4'
_symmetry_space_group_name_H-M 'C 1 2/m 1'
_symmetry_Int_Tables_number 12
_symmetry_space_group_name_Hall '-C 2y'
_cell_length_a 12.0029
_cell_length_b 8.3848
_cell_length_c 7.0608
_cell_angle_alpha 90.00
_cell_angle_beta 98.46
_cell_angle_gamma 90.00
loop_
_atom_site_label
_atom_site_fract_x
_atom_site_fract_y
_atom_site_fract_z
Zr1 0.0000 0.0000 0.0000
Tl1 0.1548 0.5000 0.8768
I1 0.1086 0.2458 0.2553
F1 0.1368 0.0000 0.8699
```

## Properties
The value obtained for the calculated density is 4.94 g/cm3. The total energy comes out at -4.081 eV per atom. For the density of states at the Fermi level, the calculation gives 0.000 states/eV/f.u. The value obtained for the uncorrected formation energy is -1.501 eV per atom.

---

Copy entry 5 word for word.
The following is a DFT calculation (PBE) of a relaxed structure of K2U2MnSe6.

Cell and atoms, written as CIF:
```
data_K2U2MnSe6
_chemical_formula_sum 'K4 U4 Mn2 Se12'
_symmetry_space_group_name_H-M 'C 1 2/m 1'
_symmetry_Int_Tables_number 12
_symmetry_space_group_name_Hall '-C 2y'
_cell_length_a 7.0493
_cell_length_b 12.2338
_cell_length_c 8.2229
_cell_angle_alpha 90.00
_cell_angle_beta 106.48
_cell_angle_gamma 90.00
loop_
_atom_site_label
_atom_site_fract_x
_atom_site_fract_y
_atom_site_fract_z
K1 0.0000 0.1661 0.0000
U1 0.0000 0.3338 0.5000
Mn1 0.0000 0.0000 0.5000
Se1 0.2307 0.1652 0.6977
Se2 0.2397 0.5000 0.6956
```

## Properties
The value obtained for the calculated density is 5.29 g/cm3. The total energy comes out at -6.080 eV per atom. For the density of states at the Fermi level, the calculation gives 13.499 states/eV/f.u. The value obtained for the uncorrected formation energy is -1.093 eV per atom.